## Cs4Pa3TiN8 (PBE)

Data for a relaxed structure of Cs4Pa3TiN8.

- Formation energy (no corrections): -13.8 eV per formula unit
- Fermi-level density of states: 32.1 states/eV per cell

```
data_Cs4Pa3TiN8
_chemical_formula_sum 'Cs12 Pa9 Ti3 N24'
_space_group_name_H-M_alt 'R -3 m'
_space_group_IT_number 166
_space_group_name_Hall '-R 3 2"'
_cell_length_a 7.0699
_cell_length_b 7.0699
_cell_length_c 21.1883
_cell_angle_alpha 90.00
_cell_angle_beta 90.00
_cell_angle_gamma 120.00
loop_
_atom_site_label
_atom_site_type_symbol
_atom_site_fract_x
_atom_site_fract_y
_atom_site_fract_z
_atom_site_occupancy
Cs1 Cs 0.0000 0.0000 0.0000 1
Cs2 Cs 0.0000 0.5000 0.0000 1
Pa1 Pa 0.0000 0.5000 0.5000 1
Ti1 Ti 0.0000 0.0000 0.5000 1
N1 N 0.0000 0.0000 0.2160 1
N2 N 0.0108 0.5054 0.2148 1
```